(1)
VASP calculation (PBE-GGA) on a geometry-optimized Ho2AlHg structure.

The space group is P4/mmm (No. 123) and the conventional cell measures 3.597, 3.597 and 7.513 Å, with angles of 90.00, 90.00 and 90.00 degrees. Symmetry generates all atoms from Ho at (0.000, 0.000, 0.240), Al at (0.500, 0.500, 0.000) and Hg at (0.500, 0.500, 0.500).

Its electronic total energy is -3.7322 eV/atom. For the energy above the most stable polymorph in this dataset, the calculation gives 0.0 kJ/mol of atoms.

(2)
VASP calculation (PBE-GGA) on a geometry-optimized Ho4Al2Hg structure.

The space group is R-3m (No. 166, hexagonal axes) and the conventional cell measures 5.1100, 5.1100 and 24.7653 Å, with angles of 90.00, 90.00 and 120.00 degrees. Symmetry generates all atoms from Ho at (0.0000, 0.0000, 0.1186), Ho at (0.0000, 0.0000, 0.3709), Al at (0.0000, 0.0000, 0.2492) and Hg at (0.0000, 0.0000, 0.5000).

Its electronic total energy is -3.9853 eV/atom.

(3)
VASP calculation (PBE-GGA) on a geometry-optimized Ho4AlInHg2 structure.

The space group is R-3m (No. 166, hexagonal axes) and the conventional cell measures 5.2264, 5.2264 and 25.6463 Å, with angles of 90.00, 90.00 and 120.00 degrees. Symmetry generates all atoms from Ho at (0.0000, 0.0000, 0.1222), Ho at (0.0000, 0.0000, 0.3724), Al at (0.0000, 0.0000, 0.0000), In at (0.0000, 0.0000, 0.5000) and Hg at (0.0000, 0.0000, 0.2502).

Its electronic total energy is -3.6064 eV/atom.

(4)
VASP calculation (PBE-GGA) on a geometry-optimized LiHoAlHg structure.

The space group is F-43m (No. 216) and the conventional cell measures 6.982, 6.982 and 6.982 Å, with angles of 90.00, 90.00 and 90.00 degrees. Symmetry generates all atoms from Li at (0.000, 0.000, 0.000), Ho at (0.000, 0.000, 0.500), Al at (0.250, 0.250, 0.750) and Hg at (0.250, 0.250, 0.250).

Its electronic total energy is -2.9560 eV/atom.

(5)
VASP calculation (PBE-GGA) on a geometry-optimized HoLuAlHg structure.

The space group is F-43m (No. 216) and the conventional cell measures 7.272, 7.272 and 7.272 Å, with angles of 90.00, 90.00 and 90.00 degrees. Symmetry generates all atoms from Ho at (0.000, 0.000, 0.000), Lu at (0.000, 0.000, 0.500), Al at (0.250, 0.250, 0.250) and Hg at (0.250, 0.250, 0.750).

Its electronic total energy is -3.6729 eV/atom.

(6)
VASP calculation (PBE-GGA) on a geometry-optimized NaHoAlHg structure.

The space group is F-43m (No. 216) and the conventional cell measures 7.231, 7.231 and 7.231 Å, with angles of 90.00, 90.00 and 90.00 degrees. Symmetry generates all atoms from Na at (0.000, 0.000, 0.000), Ho at (0.000, 0.000, 0.500), Al at (0.250, 0.250, 0.750) and Hg at (0.250, 0.250, 0.250).

Its electronic total energy is -2.6580 eV/atom.

(7)
VASP calculation (PBE-GGA) on a geometry-optimized NdHoAlHg structure.

The space group is P4mm (No. 99) and the conventional cell measures 3.610, 3.610 and 7.848 Å, with angles of 90.00, 90.00 and 90.00 degrees. Symmetry generates all atoms from Nd at (0.000, 0.000, 0.000), Ho at (0.000, 0.000, 0.522), Al at (0.500, 0.500, 0.752) and Hg at (0.500, 0.500, 0.283).

Its electronic total energy is -3.7770 eV/atom. For the energy above the most stable polymorph in this dataset, the calculation gives 0.0 kJ/mol of atoms.

(8)
VASP calculation (PBE-GGA) on a geometry-optimized NdHoAlHg structure.

The space group is F-43m (No. 216) and the conventional cell measures 7.476, 7.476 and 7.476 Å, with angles of 90.00, 90.00 and 90.00 degrees. Symmetry generates all atoms from Nd at (0.000, 0.000, 0.000), Ho at (0.000, 0.000, 0.500), Al at (0.250, 0.250, 0.750) and Hg at (0.250, 0.250, 0.250).

Its electronic total energy is -3.7311 eV/atom. For the energy above the most stable polymorph in this dataset, the calculation gives 4.4 kJ/mol of atoms.

(9)
VASP calculation (PBE-GGA) on a geometry-optimized HoPaAlHg structure.

The space group is F-43m (No. 216) and the conventional cell measures 7.334, 7.334 and 7.334 Å, with angles of 90.00, 90.00 and 90.00 degrees. Symmetry generates all atoms from Ho at (0.000, 0.000, 0.000), Pa at (0.000, 0.000, 0.500), Al at (0.250, 0.250, 0.250) and Hg at (0.250, 0.250, 0.750).

Its electronic total energy is -4.5869 eV/atom.

(10)
VASP calculation (PBE-GGA) on a geometry-optimized Ho2Al4HgPd3 structure.

The space group is P-4m2 (No. 115) and the conventional cell measures 4.226, 4.226 and 10.787 Å, with angles of 90.00, 90.00 and 90.00 degrees. Symmetry generates all atoms from Ho at (0.000, 0.500, 0.238), Al at (0.000, 0.000, 0.000), Al at (0.000, 0.500, 0.644), Al at (0.500, 0.500, 0.000), Hg at (0.000, 0.000, 0.500), Pd at (0.000, 0.500, 0.869) and Pd at (0.500, 0.500, 0.500).

Its electronic total energy is -4.7054 eV/atom.

(11)
VASP calculation (PBE-GGA) on a geometry-optimized PrHoAlHg structure.

The space group is F-43m (No. 216) and the conventional cell measures 7.507, 7.507 and 7.507 Å, with angles of 90.00, 90.00 and 90.00 degrees. Symmetry generates all atoms from Pr at (0.000, 0.000, 0.000), Ho at (0.000, 0.000, 0.500), Al at (0.250, 0.250, 0.750) and Hg at (0.250, 0.250, 0.250).

Its electronic total energy is -3.7276 eV/atom. For the energy above the most stable polymorph in this dataset, the calculation gives 4.8 kJ/mol of atoms.

(12)
VASP calculation (PBE-GGA) on a geometry-optimized PrHoAlHg structure.

The space group is P4mm (No. 99) and the conventional cell measures 3.635, 3.635 and 7.833 Å, with angles of 90.00, 90.00 and 90.00 degrees. Symmetry generates all atoms from Pr at (0.000, 0.000, 0.000), Ho at (0.000, 0.000, 0.522), Al at (0.500, 0.500, 0.749) and Hg at (0.500, 0.500, 0.288).

Its electronic total energy is -3.7772 eV/atom. For the energy above the most stable polymorph in this dataset, the calculation gives 0.0 kJ/mol of atoms.

(13)
VASP calculation (PBE-GGA) on a geometry-optimized Ho3Al3Hg2Rh structure.

The space group is P-62m (No. 189) and the conventional cell measures 7.3829, 7.3829 and 4.0749 Å, with angles of 90.00, 90.00 and 120.00 degrees. Symmetry generates all atoms from Ho at (0.0000, 0.3990, 0.0000), Al at (0.0000, 0.7729, 0.5000), Hg at (0.3333, 0.6667, 0.5000) and Rh at (0.0000, 0.0000, 0.0000).

Its electronic total energy is -4.2895 eV/atom.

In eV per atom, the energy relative to the elements values for the records above are, in order, -0.4322, -0.2571, -0.4319, -0.3220, -0.3871, -0.1727, -0.4295, -0.3837, -0.0573, -0.7048, -0.3772, -0.4268, -0.6322.
In Å³ per cell, the V values for the records above are, in order, 97.2, 560.0, 606.7, 340.3, 384.6, 378.0, 102.3, 417.8, 394.4, 192.6, 423.0, 103.5, 192.4.
In states/eV/atom, the DOS at the Fermi energy values for the records above are, in order, 0.6852, 0.8817, 0.9443, 0.5519, 1.0083, 0.5607, 0.5629, 1.1542, 1.5413, 0.6253, 1.1689, 0.5904, 0.4976.